Here is an optimized crystal structure of LaPu3Ge4 from Alexandria. Energies are from PBE.

Lattice parameters (Å, degrees): 9.2671 9.2671 6.2201 107.07 107.07 24.51
Positions (direct):
La: 0.0000 0.0000 0.0000
Pu: 0.1871 0.1871 0.6681
Pu: 0.5000 0.5000 0.5000
Pu: 0.8129 0.8129 0.3319
Ge: 0.1864 0.1864 0.1419
Ge: 0.3726 0.3726 0.7035
Ge: 0.6274 0.6274 0.2965
Ge: 0.8136 0.8136 0.8581

The density is 9.12 Mg/m³. As for the density of states at the Fermi level: 30.445 states/eV/f.u. The energy of formation comes out at -1.743 eV per formula unit. As for the space group: C2/m.

***

Here is an optimized crystal structure of FeH2Rh from Alexandria. Energies are from PBE.

Lattice parameters (Å, degrees): 2.7843 4.5012 4.8154 90.00 90.00 90.00
Positions (direct):
Fe: 0.2500 0.2500 0.0868
Fe: 0.7500 0.7500 0.9132
H: 0.2500 0.9999 0.7746
H: 0.2500 0.5001 0.7746
H: 0.7500 0.0001 0.2254
H: 0.7500 0.4999 0.2254
Rh: 0.2500 0.7500 0.4086
Rh: 0.7500 0.2500 0.5914

The density is 8.85 Mg/m³. As for the density of states at the Fermi level: 1.649 states/eV/f.u. The value obtained for the final energy is -45.07 eV for the cell shown. As for the space group: Pmmn.